The following is a DFT calculation (PBE+U) of a relaxed structure of V2CdPbO8.

## Properties
space-group type = P-3m1
uncorrected energy = -6.35 eV/atom

Unit cell a=5.8634 b=5.8634 c=6.3428 alpha=90.00 beta=90.00 gamma=120.00
Closest atoms and distances in Å follow each position.
Fractional positions:
1 V 0.3333 0.6667 0.1624  4 O 1.62-1.80
2 V 0.6667 0.3333 0.8376  4 O 1.62-1.80
3 Cd 0.0000 0.0000 0.5000  6 O 2.34
4 Pb 0.0000 0.0000 0.0000  6 O 2.24
5 O 0.1622 0.3243 0.2387  1 V 1.80
6 O 0.1622 0.8378 0.2387  1 V 1.80
7 O 0.3243 0.1622 0.7613  1 V 1.80
8 O 0.3333 0.6667 0.9066  1 V 1.62
9 O 0.6667 0.3333 0.0934  1 V 1.62
10 O 0.6757 0.8378 0.2387  1 V 1.80
11 O 0.8378 0.1622 0.7613  1 V 1.80
12 O 0.8378 0.6757 0.7613  1 V 1.80